[1]
Material: SbPF2
Method: DFT, GGA-PBEsol
State: optimized geometry

```
SbPF2
1.0
-2.807 0.835 -0.473
-1.281 -0.525 -2.624
-4.135 -7.579 1.859
F Sb P
2 1 1
direct
0.066 0.066 0.801 F
0.934 0.934 0.199 F
0.500 0.500 0.500 Sb
0.000 0.000 0.000 P
```

Calculated values
V: 66 Å³ per cell
total moment: 0.00 μB per cell
raw formation energy: -1.001 eV per atom



[2]
Material: GaAsP3
Method: DFT, GGA-PBEsol
State: optimized geometry

```
GaAsP3
1.0
4.583 0.000 0.000
0.000 4.583 0.000
0.000 0.000 4.583
P As Ga
3 1 1
direct
0.000 0.500 0.000 P
0.000 0.000 0.500 P
0.500 0.000 0.000 P
0.500 0.500 0.500 As
0.000 0.000 0.000 Ga
```

Calculated values
V: 96 Å³ per cell
ΔH_f (0 K): 1.002 eV per atom
total moment: 0.00 μB per cell



[3]
Material: BaLiCl2
Method: DFT, GGA-PBEsol
State: optimized geometry

```
BaLiCl2
1.0
-1.898 -2.220 2.344
2.513 -1.962 -2.815
6.262 0.315 5.370
Ba Li Cl
1 1 2
direct
0.500 0.000 0.000 Ba
0.500 0.000 0.500 Li
0.000 0.000 0.699 Cl
0.000 0.000 0.301 Cl
```

Calculated values
V: 118 Å³ per cell
total moment: 0.31 μB per cell
raw formation energy: -1.640 eV per atom